1.
# CuSnBiPb2

Crystalline CuSnBiPb2 at its relaxed geometry (GGA-PBE, Alexandria).

abc: 5.3867 5.3867 5.0375
angles: 90.00 90.00 90.00
Closest atoms and distances in Å follow each position.
Space group P4/mmm (No. 123)
Symmetry-distinct sites (fractional):
1 Cu 0.0000 0.0000 0.0000  2 Sn 2.52, 4 Pb 2.69
2 Sn 0.0000 0.0000 0.5000  2 Cu 2.52
3 Bi 0.5000 0.5000 0.5000  8 Pb 3.69, 4 Sn 3.81
4 Pb 0.0000 0.5000 0.0000  2 Cu 2.69

Computed properties:
ΔH_f (0 K) ... 0.98 eV per formula unit
Density of states at the Fermi level ... 2.54 states/eV/f.u.

---

2.
# RbNaLiSb

Crystalline RbNaLiSb at its relaxed geometry (GGA-PBE, Alexandria).

abc: 7.6993 7.6993 7.6993
angles: 90.00 90.00 90.00
Closest atoms and distances in Å follow each position.
Space group F-43m (No. 216)
Symmetry-distinct sites (fractional):
1 Rb 0.0000 0.0000 0.0000  4 Na 3.33, 4 Li 3.33
2 Na 0.2500 0.2500 0.7500  4 Sb 3.33, 4 Rb 3.33
3 Li 0.2500 0.2500 0.2500  4 Rb 3.33, 4 Sb 3.33
4 Sb 0.0000 0.0000 0.5000  4 Li 3.33, 4 Na 3.33

Computed properties:
Formation energy from raw total energies ... -38 kJ per mole of atoms
Excess energy over the best structure of this formula in the dataset ... 22 kJ/mol of formula units

---

| no. | volume (Å³/cell) | electronic total energy (eV per cell) |
| --- | --- | --- |
| 1 | 146.17 | -18.4 |
| 2 | 456.41 | -39.5 |